# 1
A plane-wave DFT calculation with PBE was carried out for an optimized crystal structure of Ba2TeAsRh.

Geometry as POSCAR:
```
Ba2TeAsRh
1.0
6.186 0.000 0.000
0.000 6.186 0.000
0.000 0.000 4.594
As Te Rh Ba
1 1 1 2
Cartesian
0.000 0.000 2.297 As
3.093 3.093 2.297 Te
0.000 0.000 0.000 Rh
0.000 3.093 0.000 Ba
3.093 0.000 0.000 Ba
```

Values from the calculation:
Fermi-level density of states (states/eV/atom): 0.283
E_tot (eV per atom): -4.76
E_form (uncorrected) (eV per atom): -0.966

---

# 2
A plane-wave DFT calculation with PBE was carried out for an optimized crystal structure of CoPtPb2.

Geometry as POSCAR:
```
CoPtPb2
1.0
4.769 0.000 0.000
0.000 4.831 0.000
0.000 0.000 3.505
Co Pb Pt
1 2 1
Cartesian
0.000 2.416 1.752 Co
0.000 0.000 0.000 Pb
2.385 2.416 0.000 Pb
2.385 0.000 1.752 Pt
```

Values from the calculation:
Fermi-level density of states (states/eV/atom): 1.014
E_tot (eV per atom): -4.81
DFT formation energy (eV per atom): 0.330

---

# 3
A plane-wave DFT calculation with PBE was carried out for an optimized crystal structure of ZrH12C2N6F6.

Geometry as POSCAR:
```
ZrH12C2N6F6
1.0
-6.530 4.490 -2.544
-1.788 -7.215 3.698
3.327 5.342 8.027
Zr H C N F
2 24 4 12 12
Cartesian
-2.975 2.010 0.562 Zr
-2.017 0.607 8.619 Zr
-2.231 -3.706 6.317 H
-2.761 6.323 2.864 H
-1.384 -2.500 7.302 H
-3.608 5.117 1.879 H
0.141 2.895 6.610 H
-5.133 -0.278 2.571 H
0.734 4.368 5.846 H
-5.726 -1.751 3.335 H
-3.031 -2.689 2.264 H
-1.961 5.306 6.917 H
-2.656 -1.203 1.425 H
-2.336 3.820 7.756 H
-0.561 -0.414 1.370 H
-4.431 3.031 7.812 H
-5.883 3.554 0.001 H
0.891 -0.937 9.180 H
-1.357 1.694 3.691 H
-3.635 0.923 5.490 H
-1.043 1.361 5.358 H
-3.949 1.256 3.824 H
1.366 1.133 8.033 H
-6.358 1.484 1.149 H
-1.531 -3.441 3.897 H
-3.461 6.058 5.284 H
-1.173 -1.896 2.615 C
-3.819 4.513 6.566 C
-0.143 3.022 4.592 C
-4.849 -0.406 4.589 C
-4.972 -1.178 5.675 N
-0.020 3.795 3.506 N
0.383 3.418 5.763 N
-5.375 -0.801 3.418 N
-2.550 4.477 7.009 N
-2.442 -1.860 2.172 N
-0.295 -1.000 2.157 N
-4.697 3.617 7.025 N
-0.740 1.828 4.497 N
-4.252 0.789 4.684 N
-4.174 5.419 5.648 N
-0.818 -2.802 3.533 N
-2.986 2.353 9.020 F
-2.006 0.264 0.161 F
-4.123 -4.229 2.386 F
-0.869 6.846 6.795 F
-2.795 1.967 2.604 F
-2.197 0.650 6.577 F
-4.598 0.853 1.216 F
-0.395 1.764 7.965 F
-4.184 3.678 0.697 F
-0.808 -1.061 8.485 F
-2.943 -4.291 4.653 F
-2.049 6.908 4.528 F
```

Values from the calculation:
Fermi-level density of states (states/eV/atom): 0.000
E_tot (eV per atom): -5.96

---

# 4
A plane-wave DFT calculation with PBE was carried out for an optimized crystal structure of ScCdBr2.

Geometry as POSCAR:
```
ScCdBr2
1.0
3.507 0.000 0.000
0.000 3.507 0.000
0.000 0.000 8.605
Br Cd Sc
2 1 1
Cartesian
0.000 0.000 7.981 Br
1.754 1.754 2.718 Br
0.000 0.000 4.372 Cd
1.754 1.754 6.442 Sc
```

Values from the calculation:
Fermi-level density of states (states/eV/atom): 0.269
E_tot (eV per atom): -3.40
E_form (uncorrected) (eV per atom): -0.756
Energy above the lowest structure with this stoichiometry (kJ per mole of atoms): 24.33

---

# 5
A plane-wave DFT calculation with PBE was carried out for an optimized crystal structure of CdPbSe2.

Geometry as POSCAR:
```
CdPbSe2
1.0
-3.579 0.844 3.675
-4.547 -2.515 -0.174
-1.060 -3.700 3.496
Cd Pb Se
1 1 2
Cartesian
-4.593 -2.685 3.498 Cd
-6.890 -4.027 5.247 Pb
0.000 0.000 0.000 Se
-2.297 -1.342 1.749 Se
```

Values from the calculation:
Fermi-level density of states (states/eV/atom): 0.722
E_tot (eV per atom): -2.78
E_form (uncorrected) (eV per atom): 0.117

---

# 6
A plane-wave DFT calculation with PBE was carried out for an optimized crystal structure of Al2CrSe.

Geometry as POSCAR:
```
Al2CrSe
1.0
2.129 -1.890 3.612
2.816 2.543 2.599
-1.242 1.169 4.271
Cr Al Se
1 2 1
Cartesian
0.000 0.000 0.000 Cr
0.926 0.456 2.621 Al
2.778 1.367 7.862 Al
1.852 0.911 5.241 Se
```

Values from the calculation:
Fermi-level density of states (states/eV/atom): 0.732
E_tot (eV per atom): -4.70
E_form (uncorrected) (eV per atom): 0.448
Energy above the lowest structure with this stoichiometry (kJ per mole of atoms): 46.19

---

# 7
A plane-wave DFT calculation with PBE was carried out for an optimized crystal structure of Tl2Co.

Geometry as POSCAR:
```
Tl2Co
1.0
-1.481 -2.470 1.380
2.503 -4.109 -4.668
5.392 -1.086 3.847
Tl Co
4 2
Cartesian
4.600 -1.914 1.513 Tl
3.295 -3.280 -2.334 Tl
5.371 -5.256 0.054 Tl
1.043 -2.408 0.504 Tl
0.000 0.000 0.000 Co
3.207 -3.832 0.279 Co
```

Values from the calculation:
Fermi-level density of states (states/eV/atom): 0.755
E_tot (eV per atom): -3.52
DFT formation energy (eV per atom): 0.423

---

# 8
A plane-wave DFT calculation with PBE was carried out for an optimized crystal structure of Mg2InAs.

Geometry as POSCAR:
```
Mg2InAs
1.0
6.339 0.176 -0.738
4.932 3.986 -0.738
0.937 0.346 3.694
As In Mg
1 1 2
Cartesian
6.055 2.235 1.530 As
3.484 1.286 0.026 In
0.229 0.084 0.380 Mg
8.545 3.155 1.393 Mg
```

Values from the calculation:
Fermi-level density of states (states/eV/atom): 0.302
E_tot (eV per atom): -2.85
DFT formation energy (eV per atom): -0.201
Energy above the lowest structure with this stoichiometry (kJ per mole of atoms): 7.24

---

# 9
A plane-wave DFT calculation with PBE was carried out for an optimized crystal structure of Mn2TlW.

Geometry as POSCAR:
```
Mn2TlW
1.0
5.219 0.028 0.051
4.212 3.082 0.051
1.854 0.611 3.983
Mn Tl W
2 1 1
Cartesian
9.356 3.085 0.140 Mn
8.359 2.756 3.116 Mn
5.644 1.861 2.041 Tl
3.000 0.989 0.931 W
```

Values from the calculation:
Fermi-level density of states (states/eV/atom): 0.808
E_tot (eV per atom): -7.82
DFT formation energy (eV per atom): 0.599
Energy above the lowest structure with this stoichiometry (kJ per mole of atoms): 13.16

---

# 10
A plane-wave DFT calculation with PBE was carried out for an optimized crystal structure of ReRuPtRh3.

Geometry as POSCAR:
```
ReRuPtRh3
1.0
-2.390 -0.790 1.079
4.325 -0.351 5.844
-1.921 8.452 1.930
Re Ru Pt Rh
2 2 2 6
Cartesian
1.335 5.677 7.111 Re
-1.322 1.634 1.743 Re
-0.961 4.226 0.965 Ru
0.000 0.000 0.000 Ru
-0.883 5.526 5.564 Pt
0.896 1.785 3.289 Pt
-1.143 3.595 3.574 Rh
1.156 3.716 5.279 Rh
2.114 -0.499 4.317 Rh
-2.101 7.810 4.537 Rh
-0.775 6.180 2.807 Rh
0.787 1.131 6.047 Rh
```

Values from the calculation:
Fermi-level density of states (states/eV/atom): 1.099
E_tot (eV per atom): -8.36
DFT formation energy (eV per atom): -0.052

---

# 11
A plane-wave DFT calculation with PBE was carried out for an optimized crystal structure of Y2TlCd.

Geometry as POSCAR:
```
Y2TlCd
1.0
9.890 -0.002 -0.001
9.189 3.657 -0.001
9.189 1.761 3.206
Cd Tl Y
1 1 2
Cartesian
7.067 1.354 0.801 Cd
21.200 4.062 2.403 Tl
28.232 5.409 3.199 Y
14.168 2.715 1.606 Y
```

Values from the calculation:
Fermi-level density of states (states/eV/atom): 0.941
E_tot (eV per atom): -4.28
DFT formation energy (eV per atom): -0.230

---

# 12
A plane-wave DFT calculation with PBE was carried out for an optimized crystal structure of TcIr3S.

Geometry as POSCAR:
```
TcIr3S
1.0
-1.900 3.949 0.332
-3.916 -1.927 0.514
0.607 -0.074 4.352
S Ir Tc
1 3 1
Cartesian
0.000 0.000 0.000 S
-1.958 -0.964 0.257 Ir
0.304 -0.037 2.176 Ir
-0.950 1.974 0.166 Ir
-2.605 0.974 2.599 Tc
```

Values from the calculation:
Fermi-level density of states (states/eV/atom): 1.123
E_tot (eV per atom): -7.12
E_form (uncorrected) (eV per atom): 1.096
Energy above the lowest structure with this stoichiometry (kJ per mole of atoms): 0.00